Entry 1:
Below is an optimized crystal structure of Tb6ScIn5, with properties calculated at the PBE level.

Unit cell a=5.3082 b=7.6265 c=8.4706 alpha=90.00 beta=108.16 gamma=90.00
With the nearest neighbours (Å) after each atom.
Space group P2/m (No. 10)
One atom of each set of equivalent atoms:
1 Tb 0.0000 0.2394 0.0000 (multiplicity 2)  6 In 3.17-3.26, 2 Sc 3.32
2 Tb 0.3293 0.2526 0.6598 (multiplicity 4)  7 In 3.24-3.41, 1 Sc 3.32
3 Sc 0.5000 0.5000 0.0000 (multiplicity 1)  8 Tb 3.32, 4 In 3.62-3.63
4 In 0.1544 0.5000 0.3066 (multiplicity 2)  8 Tb 3.17-3.41
5 In 0.1690 0.0000 0.3362 (multiplicity 2)  8 Tb 3.24-3.28
6 In 0.5000 0.0000 0.0000 (multiplicity 1)  8 Tb 3.22-3.35

Entry 2:
Below is an optimized crystal structure of Tb9ScIn2, with properties calculated at the PBE level.

Unit cell a=4.8646 b=4.8646 c=14.8086 alpha=90.00 beta=90.00 gamma=90.00
With the nearest neighbours (Å) after each atom.
Space group P4/mmm (No. 123)
One atom of each set of equivalent atoms:
1 Tb 0.0000 0.0000 0.0000 (multiplicity 1)  4 Sc 3.44, 8 Tb 3.48
2 Tb 0.0000 0.0000 0.3341 (multiplicity 2)  4 In 3.44, 8 Tb 3.46
3 Tb 0.0000 0.5000 0.1681 (multiplicity 4)  8 Tb 3.44-3.48, 2 Sc 3.48, 2 In 3.50
4 Tb 0.0000 0.5000 0.5000 (multiplicity 2)  4 In 3.42, 8 Tb 3.44-3.46
5 Sc 0.5000 0.5000 0.0000 (multiplicity 1)  12 Tb 3.44-3.48
6 In 0.5000 0.5000 0.3378 (multiplicity 2)  12 Tb 3.42-3.50

Entry 3:
Below is an optimized crystal structure of Tb4ScIn2, with properties calculated at the PBE level.

Values from the calculation:
- ΔE to the lowest computed polymorph (meV/atom) = 7

Unit cell a=5.4331 b=5.4331 c=25.8326 alpha=90.00 beta=90.00 gamma=120.00
With the nearest neighbours (Å) after each atom.
Space group R-3m (No. 166, hexagonal axes)
One atom of each set of equivalent atoms:
1 Tb 0.0000 0.0000 0.1297 (multiplicity 6)  3 Sc 3.28, 7 Tb 3.54-3.67
2 Tb 0.0000 0.0000 0.2672 (multiplicity 6)  4 In 3.12-3.15
3 Sc 0.0000 0.0000 0.5000 (multiplicity 3)  2 In 2.90
4 In 0.0000 0.0000 0.3878 (multiplicity 6)  1 Sc 2.90, 4 Tb 3.12-3.15

Entry 4:
Below is an optimized crystal structure of Tb15Sc4In, with properties calculated at the PBE level.

Unit cell a=4.9007 b=4.9007 c=24.7428 alpha=90.00 beta=90.00 gamma=90.00
With the nearest neighbours (Å) after each atom.
Space group P4/mmm (No. 123)
One atom of each set of equivalent atoms:
1 Tb 0.0000 0.0000 0.0000 (multiplicity 1)  4 In 3.47, 8 Tb 3.48
2 Tb 0.0000 0.0000 0.1991 (multiplicity 2)  4 Sc 3.47, 8 Tb 3.47-3.49
3 Tb 0.0000 0.0000 0.3995 (multiplicity 2)  4 Sc 3.47, 8 Tb 3.48-3.49
4 Tb 0.0000 0.5000 0.0997 (multiplicity 4)  8 Tb 3.47-3.48, 2 In 3.48, 2 Sc 3.49
5 Tb 0.0000 0.5000 0.2998 (multiplicity 4)  8 Tb 3.47-3.49, 4 Sc 3.48-3.49
6 Tb 0.0000 0.5000 0.5000 (multiplicity 2)  8 Tb 3.47-3.49, 4 Sc 3.48
7 Sc 0.5000 0.5000 0.1999 (multiplicity 2)  12 Tb 3.47-3.49
8 Sc 0.5000 0.5000 0.3999 (multiplicity 2)  12 Tb 3.47-3.49
9 In 0.5000 0.5000 0.0000 (multiplicity 1)  12 Tb 3.47-3.48

Entry 5:
Below is an optimized crystal structure of Tb7ScIn4, with properties calculated at the PBE level.

Unit cell a=14.8217 b=5.6808 c=9.7572 alpha=90.00 beta=121.61 gamma=90.00
With the nearest neighbours (Å) after each atom.
Space group C2/m (No. 12)
One atom of each set of equivalent atoms:
1 Tb 0.0000 0.0000 0.0000 (multiplicity 2)  2 Sc 2.84, 2 In 2.98
2 Tb 0.0718 0.5000 0.4101 (multiplicity 4)  5 In 3.18-3.49, 3 Tb 3.39-3.54, 1 Sc 3.56
3 Tb 0.2031 0.5000 0.8785 (multiplicity 4)  4 In 3.41-3.80, 6 Tb 3.49-3.73, 1 Sc 3.77
4 Tb 0.2476 0.0000 0.7050 (multiplicity 4)  4 In 2.99-3.16, 1 Sc 3.32
5 Sc 0.0000 0.5000 0.0000 (multiplicity 2)  2 Tb 2.84
6 In 0.0465 0.0000 0.7063 (multiplicity 4)  4 Tb 2.99-3.28, 1 In 3.12
7 In 0.1789 0.0000 0.3417 (multiplicity 4)  5 Tb 2.98-3.18, 1 In 3.12

Entry 6:
Below is an optimized crystal structure of TbSc6In, with properties calculated at the PBE level.

Values from the calculation:
- ΔE to the lowest computed polymorph (meV/atom) = 0

Unit cell a=4.5952 b=4.5952 c=9.3589 alpha=90.00 beta=90.00 gamma=90.00
With the nearest neighbours (Å) after each atom.
Space group P4/mmm (No. 123)
One atom of each set of equivalent atoms:
1 Tb 0.0000 0.0000 0.0000 (multiplicity 1)  12 Sc 3.25-3.34
2 Sc 0.0000 0.5000 0.2583 (multiplicity 4)  2 In 3.22, 8 Sc 3.22-3.34, 2 Tb 3.34
3 Sc 0.5000 0.5000 0.0000 (multiplicity 1)  4 Tb 3.25, 8 Sc 3.34
4 Sc 0.5000 0.5000 0.5000 (multiplicity 1)  8 Sc 3.22, 4 In 3.25
5 In 0.0000 0.0000 0.5000 (multiplicity 1)  12 Sc 3.22-3.25

Entry 7:
Below is an optimized crystal structure of TbSc3In2, with properties calculated at the PBE level.

Values from the calculation:
- ΔE to the lowest computed polymorph (meV/atom) = 37

Unit cell a=15.3972 b=5.1311 c=8.7239 alpha=90.00 beta=119.40 gamma=90.00
With the nearest neighbours (Å) after each atom.
Space group C2/m (No. 12)
One atom of each set of equivalent atoms:
1 Tb 0.1310 0.0000 0.1615 (multiplicity 4)  5 In 3.17-3.37, 5 Sc 3.37-3.51
2 Sc 0.0594 0.0000 0.7127 (multiplicity 4)  3 In 3.15-3.20, 6 Sc 3.21-3.47, 1 Tb 3.51
3 Sc 0.1140 0.5000 0.5546 (multiplicity 4)  3 In 2.88-3.01, 3 Sc 3.15-3.21
4 Sc 0.1994 0.5000 0.9936 (multiplicity 4)  2 In 2.87-3.19, 2 Sc 2.97
5 In 0.0144 0.5000 0.1756 (multiplicity 4)  4 Sc 2.87-3.15, 1 In 2.87, 2 Tb 3.17
6 In 0.2257 0.0000 0.5939 (multiplicity 4)  5 Sc 3.01-3.30, 3 Tb 3.31-3.37, 2 In 3.32

Entry 8:
Below is an optimized crystal structure of Tb3Sc3In2, with properties calculated at the PBE level.

Unit cell a=4.6884 b=4.7065 c=9.3852 alpha=90.00 beta=90.00 gamma=90.00
With the nearest neighbours (Å) after each atom.
Space group Pmmm (No. 47)
One atom of each set of equivalent atoms:
1 Tb 0.0000 0.0000 0.0000 (multiplicity 1)  4 Tb 3.32, 4 Sc 3.36, 4 In 3.36
2 Tb 0.0000 0.0000 0.5000 (multiplicity 1)  8 Sc 3.28-3.32, 4 In 3.29
3 Tb 0.5000 0.5000 0.0000 (multiplicity 1)  4 Tb 3.32, 4 In 3.35, 4 Sc 3.36
4 Sc 0.5000 0.0000 0.2562 (multiplicity 2)  6 Tb 3.28-3.36, 2 Sc 3.28, 4 In 3.32
5 Sc 0.5000 0.5000 0.5000 (multiplicity 1)  4 In 3.28, 4 Sc 3.28, 4 Tb 3.32
6 In 0.0000 0.5000 0.2554 (multiplicity 2)  6 Sc 3.28-3.32, 6 Tb 3.29-3.36

Entry 9:
Below is an optimized crystal structure of Tb2ScIn3, with properties calculated at the PBE level.

Unit cell a=3.6682 b=3.6682 c=11.3261 alpha=90.00 beta=90.00 gamma=90.00
With the nearest neighbours (Å) after each atom.
Space group P4/mmm (No. 123)
One atom of each set of equivalent atoms:
1 Tb 0.0000 0.0000 0.1749 (multiplicity 2)  8 In 3.26-3.27
2 Sc 0.0000 0.0000 0.5000 (multiplicity 1)  8 In 3.10
3 In 0.5000 0.5000 0.0000 (multiplicity 1)  8 Tb 3.26
4 In 0.5000 0.5000 0.3505 (multiplicity 2)  4 Sc 3.10, 4 Tb 3.27, 1 In 3.39

Entry 10:
Below is an optimized crystal structure of TbSc12In3, with properties calculated at the PBE level.

Unit cell a=4.5461 b=4.5461 c=18.5029 alpha=90.00 beta=90.00 gamma=90.00
With the nearest neighbours (Å) after each atom.
Space group P4/mmm (No. 123)
One atom of each set of equivalent atoms:
1 Tb 0.0000 0.0000 0.0000 (multiplicity 1)  12 Sc 3.21-3.35
2 Sc 0.0000 0.5000 0.1328 (multiplicity 4)  8 Sc 3.21-3.35, 2 In 3.22, 2 Tb 3.35
3 Sc 0.0000 0.5000 0.3779 (multiplicity 4)  8 Sc 3.18-3.21, 4 In 3.20
4 Sc 0.5000 0.5000 0.0000 (multiplicity 1)  4 Tb 3.21, 8 Sc 3.35
5 Sc 0.5000 0.5000 0.2574 (multiplicity 2)  8 Sc 3.18-3.24, 4 In 3.21
6 Sc 0.5000 0.5000 0.5000 (multiplicity 1)  8 Sc 3.20, 4 In 3.21
7 In 0.0000 0.0000 0.2562 (multiplicity 2)  12 Sc 3.20-3.22
8 In 0.0000 0.0000 0.5000 (multiplicity 1)  12 Sc 3.20-3.21

Entry 11:
Below is an optimized crystal structure of TbSc3In, with properties calculated at the PBE level.

Values from the calculation:
- ΔE to the lowest computed polymorph (meV/atom) = 0

Unit cell a=4.6127 b=23.5717 c=4.5809 alpha=90.00 beta=90.00 gamma=90.00
With the nearest neighbours (Å) after each atom.
Space group Cmcm (No. 63)
One atom of each set of equivalent atoms:
1 Tb 0.0000 0.0543 0.2500 (multiplicity 4)  8 Sc 3.25-3.41, 2 In 3.33, 2 Tb 3.43
2 Sc 0.0000 0.2497 0.2500 (multiplicity 4)  4 In 3.17-3.19, 8 Sc 3.24-3.25
3 Sc 0.0000 0.3467 0.7500 (multiplicity 4)  6 Sc 3.24-3.31, 4 In 3.25, 2 Tb 3.28
4 Sc 0.0000 0.4479 0.2500 (multiplicity 4)  6 Tb 3.25-3.41, 4 Sc 3.31-3.36, 2 In 3.38
5 In 0.0000 0.1568 0.7500 (multiplicity 4)  10 Sc 3.17-3.38, 2 Tb 3.33

Entry 12:
Below is an optimized crystal structure of Tb3Sc2In, with properties calculated at the PBE level.

Unit cell a=5.3327 b=10.1651 c=6.1658 alpha=90.00 beta=90.00 gamma=90.00
With the nearest neighbours (Å) after each atom.
Space group Pmc2_1 (No. 26)
One atom of each set of equivalent atoms:
1 Tb 0.0000 0.0678 0.0000 (multiplicity 2)  4 In 3.27-3.32, 4 Tb 3.28-3.39, 3 Sc 3.46-3.51
2 Tb 0.0000 0.2628 0.4245 (multiplicity 2)  4 Tb 3.28-3.39, 2 In 3.29, 5 Sc 3.33-3.45
3 Tb 0.5000 0.4219 0.2396 (multiplicity 2)  6 Sc 3.32-3.51, 4 Tb 3.32-3.47, 1 In 3.43
4 Sc 0.0000 0.4097 0.9198 (multiplicity 2)  8 Tb 3.32-3.51, 4 Sc 3.34-3.59
5 Sc 0.5000 0.2338 0.7717 (multiplicity 2)  3 In 3.24-3.61, 2 Sc 3.34, 6 Tb 3.43-3.51
6 In 0.5000 0.0871 0.3056 (multiplicity 2)  3 Sc 3.24-3.61, 7 Tb 3.27-3.43, 2 In 3.55

Number 1: formation energy -395 meV per atom. Number 2: formation energy -168 meV per atom. Number 3: formation energy 1 meV per atom. Number 4: formation energy -24 meV per atom. Number 5: formation energy -104 meV per atom. Number 6: formation energy -93 meV per atom. Number 7: formation energy -245 meV per atom. Number 8: formation energy -260 meV per atom. Number 9: formation energy -455 meV per atom. Number 10: formation energy -189 meV per atom. Number 11: formation energy -175 meV per atom. Number 12: formation energy -104 meV per atom.